[1]
CdPd3 after structural relaxation, computed with PBE.

Output
N(E_F) (states/eV per atom): 1.180
Energy (eV/atom): -4.365
Energy of formation from the pure elements (eV per atom): -0.2415
Space group: Pm-3m

abc: 4.028 4.028 4.037
angles: 90.00 90.00 90.00
Atoms (fractional coordinates):
Pd 0.500 0.500 0.000
Pd 0.500 0.000 0.500
Pd 0.000 0.500 0.500
Cd 0.000 0.000 0.000

***

[2]
CrAs2P after structural relaxation, computed with PBE.

Output
N(E_F) (states/eV per atom): 0.423
Energy (eV/atom): -5.713
Energy of formation from the pure elements (eV per atom): 0.3700
Space group: Cmmm

abc: 4.539 4.539 3.336
angles: 90.00 90.00 104.33
Atoms (fractional coordinates):
P 0.000 0.500 0.500
As 0.500 0.500 0.000
As 0.000 0.000 0.000
Cr 0.500 0.000 0.500

***

[3]
RbCdAgF4 after structural relaxation, computed with PBE.

Output
N(E_F) (states/eV per atom): 0.000
Energy (eV/atom): -3.680
E_form (uncorrected) (eV/atom): -1.93
Space group: I4mm

abc: 4.460 4.460 7.352
angles: 107.66 107.66 90.00
Atoms (fractional coordinates):
F 0.497 0.997 0.994
F 0.836 0.836 0.672
F 0.997 0.497 0.994
F 0.175 0.175 0.350
Cd 0.000 0.000 0.000
Ag 0.351 0.351 0.701
Rb 0.644 0.644 0.289

***

[4]
NaPdCl after structural relaxation, computed with PBE.

Output
Energy above the most stable polymorph in this dataset (meV per atom): 249
N(E_F) (states/eV per atom): 0.009
Energy (eV/atom): -3.315
E_form (uncorrected) (eV/atom): -0.53
Space group: Pnma

abc: 8.224 3.600 8.589
angles: 90.00 90.00 90.00
Atoms (fractional coordinates):
Na 0.497 0.250 0.750
Na 0.503 0.750 0.250
Na 0.003 0.750 0.250
Na 0.997 0.250 0.750
Cl 0.747 0.750 0.851
Cl 0.753 0.250 0.351
Cl 0.253 0.250 0.149
Cl 0.247 0.750 0.649
Pd 0.247 0.750 0.925
Pd 0.753 0.250 0.075
Pd 0.253 0.250 0.425
Pd 0.747 0.750 0.575